A geometry-optimized TaV5Ga6 structure, computed with PBE.

Calculated values
**Energy of formation**: -0.1611 eV/atom

a = 4.8331 Å, b = 5.3779 Å, c = 6.7016 Å
α = 90.00°, β = 93.04°, γ = 90.00°
Last column: nearest neighbours and their distance in Å.
Fractional positions:
Ta 0.0000 0.0000 0.0000  4 V 2.69-2.72, 8 Ga 2.78-2.80
V 0.0000 0.5000 0.0000  2 V 2.68, 2 Ta 2.69, 8 Ga 2.75-2.78
V 0.3310 0.5000 0.3335  4 V 2.68-2.69, 8 Ga 2.72-2.76
V 0.3408 0.0000 0.3358  3 V 2.62-2.69, 1 Ta 2.72, 8 Ga 2.74-2.81
V 0.6592 0.0000 0.6642  3 V 2.62-2.69, 1 Ta 2.72, 8 Ga 2.74-2.81
V 0.6690 0.5000 0.6665  4 V 2.68-2.69, 8 Ga 2.72-2.76
Ga 0.1679 0.2529 0.6623  4 Ga 2.64-2.72, 7 V 2.72-2.81, 1 Ta 2.80
Ga 0.1679 0.7471 0.6623  4 Ga 2.64-2.72, 7 V 2.72-2.81, 1 Ta 2.80
Ga 0.5000 0.2566 0.0000  4 Ga 2.62-2.76, 6 V 2.75-2.78, 2 Ta 2.78
Ga 0.5000 0.7434 0.0000  4 Ga 2.62-2.76, 6 V 2.75-2.78, 2 Ta 2.78
Ga 0.8321 0.2529 0.3377  4 Ga 2.64-2.72, 7 V 2.72-2.81, 1 Ta 2.80
Ga 0.8321 0.7471 0.3377  4 Ga 2.64-2.72, 7 V 2.72-2.81, 1 Ta 2.80

---

A geometry-optimized KZrSb2 structure, computed with PBE.

Calculated values
**Polymorph energy (0 for the lowest one)**: 0.636 eV/atom
**Formation energy (no corrections)**: 0.14 eV per atom

a = 3.1390 Å, b = 3.1390 Å, c = 12.5711 Å
α = 90.00°, β = 90.00°, γ = 92.49°
Last column: nearest neighbours and their distance in Å.
Fractional positions:
K 0.0000 0.0000 0.0000  4 K 3.14
Zr 0.5000 0.5000 0.2791  4 Sb 3.12-3.18, 4 Zr 3.14
Sb 0.0000 0.0000 0.4570  4 Zr 3.12-3.18, 4 Sb 3.14
Sb 0.5000 0.5000 0.7685  4 Sb 3.14

---

A geometry-optimized CaZnS2N structure, computed with PBE.

Calculated values
**Polymorph energy (0 for the lowest one)**: 0.000 eV/atom
**Formation energy (no corrections)**: -0.06 eV per atom

a = 4.8900 Å, b = 4.8900 Å, c = 3.8975 Å
α = 90.00°, β = 90.00°, γ = 90.00°
Last column: nearest neighbours and their distance in Å.
Fractional positions:
Ca 0.0000 0.0000 0.0000  8 S 3.13, 4 N 3.46
Zn 0.5000 0.5000 0.5000  2 N 1.95
S 0.0000 0.5000 0.5000  2 Zn 2.45
S 0.5000 0.0000 0.5000  2 Zn 2.45
N 0.5000 0.5000 0.0000  2 Zn 1.95

---

| no. | magnetization (μB per formula unit) | E (eV/cell) |
| --- | --- | --- |
| 1 | 0.00 | -77.54 |
| 2 | 0.00 | -17.33 |
| 3 | 2.13 | -20.17 |